A relaxed PI3F4 crystal. Source: the Alexandria database, functional PBE.

**Total DFT energy (no corrections)**: -3.65 eV per atom
**Formation energy from raw total energies**: -1.453 eV per atom
**Spin magnetization**: 0.0 Bohr magnetons per cell
**Space-group type**: Cm (8)

a = 8.1340 Å, b = 7.2237 Å, c = 7.2293 Å
α = 63.65°, β = 55.72°, γ = 55.78°
Positions (direct):
I 0.3114 0.0066 0.3695
I 0.9993 0.2453 0.7547
I 0.6876 0.6305 0.9934
P 0.5002 0.5410 0.4590
F 0.6312 0.2742 0.4645
F 0.3699 0.5355 0.7258
F 0.6984 0.5588 0.4412
F 0.3019 0.5571 0.4429